Record 1
# AlZn3

A geometry-optimized AlZn3 structure (GGA-PBEsol, Alexandria via LeMat-Bulk).

Properties
E_form   0.02 eV/atom
Space group   Cmmm
Electronic total energy   -2.19 eV/atom

Unit cell a=4.7976 b=4.7976 c=2.7048 alpha=90.00 beta=90.00 gamma=108.48
Atoms (fractional coordinates):
Al 0.0000 0.0000 0.0000
Zn 0.0000 0.5000 0.5000
Zn 0.5000 0.0000 0.5000
Zn 0.5000 0.5000 0.0000


Record 2
# NaCoS2

A geometry-optimized NaCoS2 structure (GGA-PBEsol, Alexandria via LeMat-Bulk).

Properties
Formation energy (no corrections)   -598 meV/atom
Space group   I-42d
Electronic total energy   -5.07 eV/atom

Unit cell a=5.7512 b=5.7512 c=5.7512 alpha=110.99 beta=110.99 gamma=106.48
Atoms (fractional coordinates):
Na 0.0000 0.0000 0.0000
Na 0.7500 0.2500 0.5000
Co 0.2500 0.7500 0.5000
Co 0.5000 0.5000 0.0000
S 0.2224 0.6250 0.0974
S 0.3750 0.4724 0.5974
S 0.5276 0.1250 0.9026
S 0.8750 0.7776 0.4026


Record 3
# CsOsF2

A geometry-optimized CsOsF2 structure (GGA-PBEsol, Alexandria via LeMat-Bulk).

Properties
Formation energy (no corrections)   -266 meV/atom
Space group   R-3m
Electronic total energy   -4.52 eV/atom
Energy relative to the lowest polymorph listed for this composition   0 meV per atom

Unit cell a=6.6851 b=6.6851 c=6.6851 alpha=32.61 beta=32.61 gamma=32.61
Atoms (fractional coordinates):
Cs 0.0000 0.0000 0.0000
Os 0.5000 0.5000 0.5000
F 0.1420 0.1420 0.1420
F 0.8580 0.8580 0.8580


Record 4
# Mn2MoIF

A geometry-optimized Mn2MoIF structure (GGA-PBEsol, Alexandria via LeMat-Bulk).

Properties
Formation energy (no corrections)   1639 meV/atom
Space group   P4/mmm
Electronic total energy   -5.36 eV/atom

Unit cell a=4.8776 b=4.8776 c=5.0463 alpha=90.00 beta=90.00 gamma=90.00
Atoms (fractional coordinates):
Mn 0.0000 0.5000 0.0000
Mn 0.5000 0.0000 0.0000
Mo 0.0000 0.0000 0.5000
I 0.0000 0.0000 0.0000
F 0.5000 0.5000 0.5000


Record 5
# La4Mg3Ag10

A geometry-optimized La4Mg3Ag10 structure (GGA-PBEsol, Alexandria via LeMat-Bulk).

Properties
E_form   -0.29 eV/atom
Space group   Cmce
Electronic total energy   -3.80 eV/atom

Unit cell a=8.7169 b=8.7169 c=10.2737 alpha=90.00 beta=90.00 gamma=71.69
Atoms (fractional coordinates):
La 0.1969 0.8031 0.7982
La 0.2015 0.2015 0.0000
La 0.2985 0.2985 0.5000
La 0.3031 0.6969 0.2982
La 0.6969 0.3031 0.7018
La 0.7015 0.7015 0.5000
La 0.7985 0.7985 0.0000
La 0.8031 0.1969 0.2018
Mg 0.0000 0.0000 0.5000
Mg 0.0156 0.4844 0.2500
Mg 0.4844 0.0156 0.7500
Mg 0.5000 0.5000 0.0000
Mg 0.5156 0.9844 0.2500
Mg 0.9844 0.5156 0.7500
Ag 0.0664 0.6607 0.5256
Ag 0.0974 0.9026 0.0963
Ag 0.1069 0.1703 0.7037
Ag 0.1607 0.5664 0.0256
Ag 0.1703 0.1069 0.2963
Ag 0.3297 0.3931 0.7963
Ag 0.3393 0.9336 0.5256
Ag 0.3931 0.3297 0.2037
Ag 0.4026 0.5974 0.5963
Ag 0.4336 0.8393 0.0256
Ag 0.5664 0.1607 0.9744
Ag 0.5974 0.4026 0.4037
Ag 0.6069 0.6703 0.7963
Ag 0.6607 0.0664 0.4744
Ag 0.6703 0.6069 0.2037
Ag 0.8297 0.8931 0.7037
Ag 0.8393 0.4336 0.9744
Ag 0.8931 0.8297 0.2963
Ag 0.9026 0.0974 0.9037
Ag 0.9336 0.3393 0.4744


Record 6
# Cd3Cu

A geometry-optimized Cd3Cu structure (GGA-PBEsol, Alexandria via LeMat-Bulk).

Properties
E_form   0.02 eV/atom
Space group   Pnma
Electronic total energy   -1.96 eV/atom

Unit cell a=7.4506 b=8.1186 c=4.9592 alpha=90.00 beta=90.00 gamma=90.00
Atoms (fractional coordinates):
Cd 0.0172 0.2500 0.0883
Cd 0.1721 0.0633 0.5919
Cd 0.1721 0.4367 0.5919
Cd 0.3279 0.5633 0.0919
Cd 0.3279 0.9367 0.0919
Cd 0.4828 0.7500 0.5883
Cd 0.5172 0.2500 0.4117
Cd 0.6721 0.0633 0.9081
Cd 0.6721 0.4367 0.9081
Cd 0.8279 0.5633 0.4081
Cd 0.8279 0.9367 0.4081
Cd 0.9828 0.7500 0.9117
Cu 0.1344 0.7500 0.4254
Cu 0.3656 0.2500 0.9254
Cu 0.6344 0.7500 0.0746
Cu 0.8656 0.2500 0.5746


Record 7
# LiAsOs2

A geometry-optimized LiAsOs2 structure (GGA-PBEsol, Alexandria via LeMat-Bulk).

Properties
E_form   0.33 eV/atom
Space group   Imm2
Electronic total energy   -7.55 eV/atom

Unit cell a=4.9603 b=4.9603 c=4.9603 alpha=144.45 beta=130.92 gamma=62.06
Atoms (fractional coordinates):
Li 0.0000 0.0000 0.0000
As 0.2472 0.7472 0.5000
Os 0.4845 0.4845 0.0000
Os 0.7425 0.2425 0.5000


Record 8
# ScOsW

A geometry-optimized ScOsW structure (GGA-PBEsol, Alexandria via LeMat-Bulk).

Properties
E_form   0.01 eV/atom
Space group   P3m1
Electronic total energy   -10.87 eV/atom

Unit cell a=4.4035 b=4.4035 c=2.8342 alpha=90.00 beta=90.00 gamma=120.00
Atoms (fractional coordinates):
Sc 0.0000 0.0000 0.0000
Os 0.6667 0.3333 0.3523
W 0.3333 0.6667 0.6397


Record 9
# Zn2NiIr

A geometry-optimized Zn2NiIr structure (GGA-PBEsol, Alexandria via LeMat-Bulk).

Properties
E_form   -0.21 eV/atom
Space group   Fm-3m
Electronic total energy   -4.99 eV/atom

Unit cell a=4.1454 b=4.1454 c=4.1454 alpha=60.00 beta=60.00 gamma=60.00
Atoms (fractional coordinates):
Zn 0.2500 0.2500 0.2500
Zn 0.7500 0.7500 0.7500
Ni 0.0000 0.0000 0.0000
Ir 0.5000 0.5000 0.5000


Record 10
# VF5

A geometry-optimized VF5 structure (GGA-PBEsol, Alexandria via LeMat-Bulk).

Properties
Formation energy (no corrections)   -2657 meV/atom
Space group   P2_1/c
Electronic total energy   -5.87 eV/atom

Unit cell a=7.2004 b=5.0651 c=9.6711 alpha=90.00 beta=112.13 gamma=90.00
Atoms (fractional coordinates):
V 0.0000 0.0000 0.0000
V 0.0000 0.5000 0.5000
V 0.5000 0.0000 0.0000
V 0.5000 0.5000 0.5000
F 0.0487 0.1478 0.1728
F 0.0487 0.3522 0.6728
F 0.1188 0.7124 0.0889
F 0.1188 0.7876 0.5889
F 0.2502 0.1302 0.0004
F 0.2502 0.3698 0.5004
F 0.3807 0.7134 0.9101
F 0.3807 0.7866 0.4101
F 0.4511 0.1501 0.8277
F 0.4511 0.3499 0.3277
F 0.5489 0.6501 0.6723
F 0.5489 0.8499 0.1723
F 0.6193 0.2134 0.5899
F 0.6193 0.2866 0.0899
F 0.7498 0.6302 0.4996
F 0.7498 0.8698 0.9996
F 0.8812 0.2124 0.4111
F 0.8812 0.2876 0.9111
F 0.9513 0.6478 0.3272
F 0.9513 0.8522 0.8272


Record 11
# NaTiGe3

A geometry-optimized NaTiGe3 structure (GGA-PBEsol, Alexandria via LeMat-Bulk).

Properties
E_form   1.16 eV/atom
Space group   Pm-3m
Electronic total energy   -3.74 eV/atom

Unit cell a=4.7832 b=4.7832 c=4.7832 alpha=90.00 beta=90.00 gamma=90.00
Atoms (fractional coordinates):
Na 0.0000 0.0000 0.0000
Ti 0.5000 0.5000 0.5000
Ge 0.0000 0.0000 0.5000
Ge 0.0000 0.5000 0.0000
Ge 0.5000 0.0000 0.0000


Record 12
# AsIr2Rh

A geometry-optimized AsIr2Rh structure (GGA-PBEsol, Alexandria via LeMat-Bulk).

Properties
E_form   0.18 eV/atom
Space group   Pmmm
Electronic total energy   -8.04 eV/atom

Unit cell a=2.7430 b=4.5720 c=4.6074 alpha=90.00 beta=90.00 gamma=90.00
Atoms (fractional coordinates):
As 0.0000 0.0000 0.0000
Ir 0.0000 0.5000 0.5000
Ir 0.5000 0.0000 0.5000
Rh 0.5000 0.5000 0.0000